[1]
# PrNd2Si2Ni2

A relaxed structure of PrNd2Si2Ni2 (PBE-GGA, the Alexandria database).

The structure belongs to space group R-3m (No. 166, hexagonal axes); the cell edges are 4.0756, 4.0756 and 34.5733 Å and the angles 90.00°, 90.00° and 120.00°. Symmetry generates all atoms from Pr at (0.0000, 0.0000, 0.0000), Nd at (0.0000, 0.0000, 0.1155), Si at (0.0000, 0.0000, 0.2721) and Ni at (0.0000, 0.0000, 0.3947).

The value obtained for the formation energy (no corrections) is -592 meV/atom. The volume comes out at 23.7 Å³ per atom. The calculation puts the density at 6.04 g/cm3.



[2]
# Cd2AgPb

A relaxed structure of Cd2AgPb (PBE-GGA, the Alexandria database).

The structure belongs to space group Cm (No. 8); the cell edges are 10.1007, 3.1382 and 6.2226 Å and the angles 90.00°, 103.42° and 90.00°. Symmetry generates all atoms from Cd at (0.0000, 0.0000, 0.0000), Cd at (0.2490, 0.5000, 0.2170), Ag at (0.4848, 0.0000, 0.4263) and Pb at (0.2373, 0.0000, 0.6974).

The volume comes out at 24.0 Å³ per atom. The calculation puts the density at 9.35 g/cm3. The value obtained for the formation energy is 0.06 eV/atom.



Number 1: D(E_F) 19.9 states/eV/cell, energy -5.839 eV per atom, size of the total moment 2.03 μB per cell. Number 2: D(E_F) 2.1 states/eV/cell, energy -2.040 eV per atom, size of the total moment 0.00 μB per cell.